[1]
Entry from Alexandria via LeMat-Bulk: a relaxed structure of NaCaTbFeO6 (GGA+U).

```
NaCaTbFeO6
1.0
0.000 4.041 4.041
4.041 0.000 4.041
4.041 4.041 0.000
Na Ca Tb Fe O
1 1 1 1 6
direct
0.000 0.000 0.000 Na
0.500 0.500 0.500 Ca
0.750 0.750 0.750 Tb
0.250 0.250 0.250 Fe
0.021 0.021 0.479 O
0.021 0.479 0.021 O
0.021 0.479 0.479 O
0.479 0.021 0.021 O
0.479 0.021 0.479 O
0.479 0.479 0.021 O
```

- VASP energy: -6.1681 eV/atom
- Symmetry: No. 216


[2]
Entry from Alexandria via LeMat-Bulk: a relaxed structure of NaCaYFeO6 (GGA+U).

```
NaCaYFeO6
1.0
0.000 4.032 4.032
4.032 0.000 4.032
4.032 4.032 0.000
Na Ca Y Fe O
1 1 1 1 6
direct
0.000 0.000 0.000 Na
0.500 0.500 0.500 Ca
0.250 0.250 0.250 Y
0.750 0.750 0.750 Fe
0.521 0.521 0.979 O
0.521 0.979 0.521 O
0.521 0.979 0.979 O
0.979 0.521 0.521 O
0.979 0.521 0.979 O
0.979 0.979 0.521 O
```

- VASP energy: -6.3478 eV/atom
- Symmetry: No. 216